(1)
DFT (PBE) results for an optimized crystal structure of MnFe2Tc2.

Properties
Its total magnetic moment is 0.00 Bohr magnetons per cell. The final energy comes out at -90.71 eV/cell. The value obtained for the volume is 126 Å³ per cell. The value obtained for the density of states at the Fermi level is 16.226 states/eV/cell. For the energy of formation, the calculation gives 0.294 eV per atom.

POSCAR file:
```
MnFe2Tc2
1.0
6.833 0.000 0.000
0.000 6.833 0.000
0.000 0.000 2.701
Mn Fe Tc
2 4 4
direct
0.000 0.000 0.000
0.500 0.500 0.000
0.124 0.376 0.000
0.376 0.876 0.000
0.624 0.124 0.000
0.876 0.624 0.000
0.175 0.675 0.500
0.325 0.175 0.500
0.675 0.825 0.500
0.825 0.325 0.500
```

=====

(2)
DFT (PBE) results for an optimized crystal structure of Cd14InGa.

Properties
Its total magnetic moment is 0.00 Bohr magnetons per cell. The final energy comes out at -18.12 eV/cell. The value obtained for the volume is 367 Å³ per cell. The value obtained for the density of states at the Fermi level is 5.484 states/eV/cell. For the energy of formation, the calculation gives 0.029 eV per atom.

POSCAR file:
```
Cd14InGa
1.0
10.438 0.000 0.000
0.000 3.015 5.826
0.000 -3.015 5.826
Cd In Ga
14 1 1
direct
0.000 0.000 0.000
0.000 0.002 0.502
0.000 0.499 0.499
0.000 0.502 0.002
0.245 0.318 0.814
0.245 0.814 0.318
0.249 0.317 0.317
0.250 0.814 0.814
0.500 0.113 0.614
0.500 0.614 0.113
0.750 0.814 0.814
0.751 0.317 0.317
0.755 0.318 0.814
0.755 0.814 0.318
0.500 0.114 0.114
0.500 0.608 0.608
```

=====

(3)
DFT (PBE) results for an optimized crystal structure of YSc2In2.

Properties
Its total magnetic moment is 0.91 Bohr magnetons per cell. The calculation puts the polymorph energy (0 for the lowest one) at 45.5 meV per atom. The final energy comes out at -52.20 eV/cell. The value obtained for the volume is 248 Å³ per cell. The value obtained for the density of states at the Fermi level is 8.739 states/eV/cell. For the energy of formation, the calculation gives -0.299 eV per atom.

POSCAR file:
```
YSc2In2
1.0
8.720 0.000 0.000
0.000 8.720 0.000
0.000 0.000 3.255
Y Sc In
2 4 4
direct
0.000 0.000 0.000
0.500 0.500 0.000
0.121 0.379 0.000
0.379 0.879 0.000
0.621 0.121 0.000
0.879 0.621 0.000
0.177 0.677 0.500
0.323 0.177 0.500
0.677 0.823 0.500
0.823 0.323 0.500
```

=====

(4)
DFT (PBE) results for an optimized crystal structure of Nd2Y12Th.

Properties
Its total magnetic moment is 0.00 Bohr magnetons per cell. The final energy comes out at -183.73 eV/cell. The value obtained for the volume is 1010 Å³ per cell. The value obtained for the density of states at the Fermi level is 48.905 states/eV/cell. For the energy of formation, the calculation gives 0.177 eV per atom.

POSCAR file:
```
Nd2Y12Th
1.0
3.518 -5.765 0.000
3.518 5.765 0.000
0.000 0.000 24.898
Nd Y Th
4 24 2
direct
0.250 0.750 0.236
0.250 0.750 0.770
0.750 0.250 0.230
0.750 0.250 0.764
0.001 0.501 0.624
0.001 0.999 0.425
0.010 0.510 0.085
0.014 0.986 0.939
0.250 0.250 0.173
0.250 0.250 0.302
0.250 0.250 0.698
0.250 0.250 0.827
0.486 0.514 0.939
0.490 0.990 0.085
0.499 0.501 0.425
0.499 0.999 0.624
0.501 0.001 0.376
0.501 0.499 0.575
0.510 0.010 0.915
0.514 0.486 0.061
0.750 0.750 0.173
0.750 0.750 0.302
0.750 0.750 0.698
0.750 0.750 0.827
0.986 0.014 0.061
0.990 0.490 0.915
0.999 0.001 0.575
0.999 0.499 0.376
0.250 0.750 0.500
0.750 0.250 0.500
```

=====

(5)
DFT (PBE) results for an optimized crystal structure of RbTlTeBr6.

Properties
Its total magnetic moment is 0.00 Bohr magnetons per cell. The final energy comes out at -23.56 eV/cell. The calculation puts the formation energy from raw total energies at -0.7835 eV per atom. The value obtained for the volume is 404 Å³ per cell. The value obtained for the density of states at the Fermi level is 0.000 states/eV/cell.

POSCAR file:
```
RbTlTeBr6
1.0
8.082 0.000 0.000
-4.041 6.999 0.000
0.000 0.000 7.144
Rb Tl Te Br
1 1 1 6
direct
0.000 0.000 0.000
0.333 0.667 0.500
0.667 0.333 0.501
0.393 0.056 0.726
0.393 0.336 0.276
0.663 0.607 0.726
0.664 0.056 0.276
0.944 0.337 0.726
0.944 0.607 0.276
```

=====

(6)
DFT (PBE) results for an optimized crystal structure of BaSi2Se.

Properties
Its total magnetic moment is 0.00 Bohr magnetons per cell. The calculation puts the polymorph energy (0 for the lowest one) at 114.6 meV per atom. The final energy comes out at -17.64 eV/cell. The calculation puts the formation energy from raw total energies at -0.3479 eV per atom. The value obtained for the volume is 111 Å³ per cell. The value obtained for the density of states at the Fermi level is 1.404 states/eV/cell.

POSCAR file:
```
BaSi2Se
1.0
4.038 0.000 0.000
0.000 5.267 0.000
-0.240 0.000 5.205
Ba Si Se
1 2 1
direct
0.000 0.000 0.000
0.268 0.500 0.626
0.732 0.500 0.374
0.500 0.000 0.500
```

=====

(7)
DFT (PBE) results for an optimized crystal structure of FeB2W3.

Properties
Its total magnetic moment is 3.32 Bohr magnetons per cell. The final energy comes out at -123.68 eV/cell. The value obtained for the volume is 141 Å³ per cell. The value obtained for the density of states at the Fermi level is 7.804 states/eV/cell. For the energy of formation, the calculation gives -0.194 eV per atom.

POSCAR file:
```
FeB2W3
1.0
3.874 -3.887 0.000
3.874 3.887 0.000
0.000 0.000 4.684
Fe B W
2 4 6
direct
0.070 0.930 0.750
0.930 0.070 0.250
0.240 0.240 0.000
0.240 0.240 0.500
0.760 0.760 0.000
0.760 0.760 0.500
0.084 0.579 0.250
0.414 0.586 0.750
0.421 0.916 0.250
0.579 0.084 0.750
0.586 0.414 0.250
0.916 0.421 0.750
```

=====

(8)
DFT (PBE) results for an optimized crystal structure of AcDyGaCo.

Properties
Its total magnetic moment is 1.08 Bohr magnetons per cell. The final energy comes out at -19.37 eV/cell. The value obtained for the volume is 98 Å³ per cell. The value obtained for the density of states at the Fermi level is 2.788 states/eV/cell. For the energy of formation, the calculation gives -0.133 eV per atom.

POSCAR file:
```
AcDyGaCo
1.0
0.000 3.658 3.658
3.658 0.000 3.658
3.658 3.658 0.000
Ac Dy Ga Co
1 1 1 1
direct
0.000 0.000 0.000
0.500 0.500 0.500
0.750 0.750 0.750
0.250 0.250 0.250
```

=====

Look up the volume of the third one. 248 Å³ per cell

=====

The lowest volume belongs to which entry? AcDyGaCo

=====

Which of these has the highest total magnetic moment? FeB2W3

=====

What is the final energy in the third record? -52.20 eV/cell